Entry 1:
The following is a meta-GGA SCAN calculation of a crystal of FeSn2SI relaxed with PBEsol, from the Alexandria database.

Computed properties:
- Formation energy from raw total energies: 0.399 eV per atom
- E: -26.870 eV/atom
- Theoretical density: 6.35 g cm⁻³
- Magnetic moment: 1.80 μB per cell

Lattice parameters (Å, degrees): 4.984 4.984 4.762 90.00 90.00 90.00
Space group P4/mmm (No. 123)
One atom of each set of equivalent atoms:
Fe (0.000, 0.000, 0.000) (multiplicity 1)
Sn (0.000, 0.500, 0.000) (multiplicity 2)
S (0.500, 0.500, 0.500) (multiplicity 1)
I (0.000, 0.000, 0.500) (multiplicity 1)


Entry 2:
The following is a meta-GGA SCAN calculation of a crystal of KPtAu relaxed with PBEsol, from the Alexandria database.

Computed properties:
- E: -49.113 eV/atom
- Theoretical density: 12.24 g cm⁻³
- Magnetic moment: 0.00 μB per cell
- Formation enthalpy at 0 K: 113 meV per atom

Lattice parameters (Å, degrees): 2.836 2.836 14.547 90.00 90.00 90.00
Space group I4mm (No. 107)
One atom of each set of equivalent atoms:
K (0.000, 0.000, 0.000) (multiplicity 2)
Pt (0.000, 0.000, 0.326) (multiplicity 2)
Au (0.000, 0.000, 0.687) (multiplicity 2)


Entry 3:
The following is a meta-GGA SCAN calculation of a crystal of ZrCd2As relaxed with PBEsol, from the Alexandria database.

Computed properties:
- E: -28.310 eV/atom
- Theoretical density: 8.00 g cm⁻³
- Magnetic moment: 0.00 μB per cell
- Formation enthalpy at 0 K: -381 meV per atom

Lattice parameters (Å, degrees): 3.610 3.610 6.230 90.00 90.00 90.00
Space group P4mm (No. 99)
One atom of each set of equivalent atoms:
Zr (0.000, 0.000, 0.000) (multiplicity 1)
Cd (0.000, 0.000, 0.478) (multiplicity 1)
Cd (0.500, 0.500, 0.707) (multiplicity 1)
As (0.500, 0.500, 0.161) (multiplicity 1)